This record from Alexandria describes a relaxed structure of KAcTl6. The functional is PBE.

The structure in POSCAR format:
```
KAcTl6
1.0
5.502 0.000 0.000
0.000 3.774 6.135
0.000 -3.774 6.135
K Ac Tl
1 1 6
direct
0.000 0.000 0.000 K
0.500 0.697 0.697 Ac
0.000 0.042 0.482 Tl
0.000 0.482 0.042 Tl
0.000 0.515 0.515 Tl
0.500 0.184 0.184 Tl
0.500 0.211 0.662 Tl
0.500 0.662 0.211 Tl
```

Output
Magnetization = 0.000 μB/atom
Formation energy = -0.16 eV per atom

This record from Alexandria describes a relaxed structure of KAcTl3. The functional is PBE.

The structure in POSCAR format:
```
KAcTl3
1.0
1.987 -16.253 0.000
1.987 16.253 0.000
0.000 0.000 5.492
K Ac Tl
2 2 6
direct
0.077 0.923 0.750 K
0.923 0.077 0.250 K
0.210 0.790 0.250 Ac
0.790 0.210 0.750 Ac
0.319 0.681 0.250 Tl
0.380 0.620 0.750 Tl
0.477 0.523 0.750 Tl
0.523 0.477 0.250 Tl
0.620 0.380 0.250 Tl
0.681 0.319 0.750 Tl
```

Output
Magnetization = 0.000 μB/atom
Formation energy = -0.16 eV per atom

DOS at the Fermi energy: 5.7; 6.0 (states/eV per cell)